A relaxed TaRe2Cl2 crystal. Source: Alexandria, functional PBE.

Lattice parameters (Å, degrees): 3.832 3.832 12.063 90.00 90.00 90.00
Space group I4/mmm (No. 139)
Unique sites:
Ta (0.000, 0.000, 0.000) [2 per cell]
Re (0.000, 0.000, 0.403) [4 per cell]
Cl (0.000, 0.500, 0.250) [4 per cell]

As for the energy above the most stable polymorph in this dataset: 0 meV/atom. The density of states at the Fermi level comes out at 3.14 states/eV/f.u. For the uncorrected formation energy, the calculation gives 0.72 eV per atom.

=====

A relaxed Dy3ErAu crystal. Source: Alexandria, functional PBE.

Lattice parameters (Å, degrees): 11.377 8.457 7.789 90.00 124.57 90.00
Space group C2/m (No. 12)
Unique sites:
Dy (0.045, 0.000, 0.314) [4 per cell]
Dy (0.190, 0.299, 0.714) [8 per cell]
Er (0.079, 0.500, 0.274) [4 per cell]
Au (0.227, 0.500, 0.065) [4 per cell]

The density of states at the Fermi level comes out at 7.26 states/eV/f.u. Its formation energy is -0.2283 eV per atom.

=====

A relaxed TiAl2Ir crystal. Source: Alexandria, functional PBE.

Lattice parameters (Å, degrees): 4.127 6.697 5.101 90.00 113.70 90.00
Space group P2_1/m (No. 11)
Unique sites:
Ti (0.074, 0.250, 0.149) [2 per cell]
Al (0.362, 0.048, 0.724) [4 per cell]
Ir (0.203, 0.750, 0.406) [2 per cell]

The density of states at the Fermi level comes out at 2.68 states/eV/f.u. Its formation energy is -0.6505 eV per atom.

=====

A relaxed Na2SnH2 crystal. Source: Alexandria, functional PBE.

Lattice parameters (Å, degrees): 7.917 7.917 2.939 90.00 90.00 90.00
Space group P4/mbm (No. 127)
Unique sites:
Na (0.124, 0.376, 0.000) [4 per cell]
Sn (0.000, 0.000, 0.000) [2 per cell]
H (0.125, 0.625, 0.500) [4 per cell]

As for the energy above the most stable polymorph in this dataset: 178 meV/atom. The density of states at the Fermi level comes out at 1.66 states/eV/f.u.

=====

A relaxed CuAgF2 crystal. Source: Alexandria, functional PBE.

Lattice parameters (Å, degrees): 5.268 3.058 7.085 90.00 94.34 90.00
Space group P2_1/m (No. 11)
Unique sites:
Cu (0.205, 0.250, 0.056) [2 per cell]
Ag (0.298, 0.750, 0.570) [2 per cell]
F (0.124, 0.250, 0.310) [2 per cell]
F (0.382, 0.250, 0.835) [2 per cell]

The density of states at the Fermi level comes out at 2.12 states/eV/f.u. For the uncorrected formation energy, the calculation gives -1.00 eV per atom.

=====

A relaxed LiScZn4 crystal. Source: Alexandria, functional PBE.

Lattice parameters (Å, degrees): 7.341 7.341 7.341 90.00 90.00 90.00
Space group F-43m (No. 216)
Unique sites:
Li (0.000, 0.000, 0.000) [4 per cell]
Sc (0.250, 0.250, 0.250) [4 per cell]
Zn (0.125, 0.125, 0.625) [16 per cell]

As for the energy above the most stable polymorph in this dataset: 15 meV/atom. The density of states at the Fermi level comes out at 4.09 states/eV/f.u. Its formation energy is -0.2233 eV per atom.

=====

A relaxed V5Re4W2 crystal. Source: Alexandria, functional PBE.

Lattice parameters (Å, degrees): 2.670 6.565 10.601 74.92 85.69 82.94
Space group P-1 (No. 2)
Unique sites:
V (0.000, 0.000, 0.000) [1 per cell]
V (0.138, 0.917, 0.618) [2 per cell]
V (0.255, 0.386, 0.921) [2 per cell]
Re (0.085, 0.461, 0.305) [2 per cell]
Re (0.460, 0.779, 0.852) [2 per cell]
W (0.404, 0.297, 0.551) [2 per cell]

The density of states at the Fermi level comes out at 8.88 states/eV/f.u. Its formation energy is 0.3204 eV per atom.

=====

A relaxed Cs3ZnGe crystal. Source: Alexandria, functional PBE.

Lattice parameters (Å, degrees): 6.914 6.914 6.914 90.00 90.00 90.00
Space group Pm-3m (No. 221)
Unique sites:
Cs (0.000, 0.000, 0.500) [3 per cell]
Zn (0.000, 0.000, 0.000) [1 per cell]
Ge (0.500, 0.500, 0.500) [1 per cell]

The density of states at the Fermi level comes out at 2.03 states/eV/f.u. Its formation energy is 0.4660 eV per atom.

=====

A relaxed ZnCr2Rh crystal. Source: Alexandria, functional PBE.

Lattice parameters (Å, degrees): 4.975 7.989 2.586 90.00 90.00 90.00
Space group Cmmm (No. 65)
Unique sites:
Zn (0.000, 0.000, 0.000) [2 per cell]
Cr (0.250, 0.250, 0.500) [4 per cell]
Rh (0.000, 0.500, 0.000) [2 per cell]

The density of states at the Fermi level comes out at 4.55 states/eV/f.u. Its formation energy is 0.1207 eV per atom.

=====

A relaxed TmNpPb2 crystal. Source: Alexandria, functional PBE.

Lattice parameters (Å, degrees): 4.992 4.992 4.438 90.00 90.00 90.00
Space group P4/mmm (No. 123)
Unique sites:
Tm (0.000, 0.000, 0.000) [1 per cell]
Np (0.500, 0.500, 0.000) [1 per cell]
Pb (0.000, 0.500, 0.500) [2 per cell]

The density of states at the Fermi level comes out at 11.35 states/eV/f.u. Its formation energy is -0.0065 eV per atom.

=====

A relaxed Tm2BeZn crystal. Source: Alexandria, functional PBE.

Lattice parameters (Å, degrees): 3.3336 3.3336 30.2019 90.00 90.00 120.00
Space group R-3m (No. 166, hexagonal axes)
Unique sites:
Tm (0.0000, 0.0000, 0.1008) [6 per cell]
Be (0.0000, 0.0000, 0.5000) [3 per cell]
Zn (0.0000, 0.0000, 0.0000) [3 per cell]

As for the energy above the most stable polymorph in this dataset: 552 meV/atom. The density of states at the Fermi level comes out at 3.90 states/eV/f.u. Its formation energy is 0.4135 eV per atom.

=====

A relaxed Zr5Tc4Ir crystal. Source: Alexandria, functional PBE.

Lattice parameters (Å, degrees): 3.302 3.302 16.418 90.00 90.00 90.00
Space group P4/mmm (No. 123)
Unique sites:
Zr (0.000, 0.000, 0.000) [1 per cell]
Zr (0.000, 0.000, 0.200) [2 per cell]
Zr (0.000, 0.000, 0.398) [2 per cell]
Tc (0.500, 0.500, 0.100) [2 per cell]
Tc (0.500, 0.500, 0.302) [2 per cell]
Ir (0.500, 0.500, 0.500) [1 per cell]

The density of states at the Fermi level comes out at 9.54 states/eV/f.u. Its formation energy is -0.4790 eV per atom.

=====

Question: What is the formula in the seventh record?
Answer: V5Re4W2

=====

Copy entry 4 word for word.
A relaxed Na2SnH2 crystal. Source: Alexandria, functional PBE.

Lattice parameters (Å, degrees): 7.917 7.917 2.939 90.00 90.00 90.00
Space group P4/mbm (No. 127)
Unique sites:
Na (0.124, 0.376, 0.000) [4 per cell]
Sn (0.000, 0.000, 0.000) [2 per cell]
H (0.125, 0.625, 0.500) [4 per cell]

As for the energy above the most stable polymorph in this dataset: 178 meV/atom. The density of states at the Fermi level comes out at 1.66 states/eV/f.u.